Model P:
The following is a PBE calculation of a geometry-optimized CeErNi structure, from Alexandria.

Unit cell a=6.5685 b=6.5685 c=6.5685 alpha=150.11 beta=150.11 gamma=42.78
With the nearest neighbours (Å) after each atom.
Atoms (fractional coordinates):
Ce  0.0000  0.0000  0.0000  4 Ni 2.93
Er  0.7306  0.7306  0.0000  4 Ni 2.88
Ni  0.3615  0.3615  0.0000  4 Er 2.88, 4 Ce 2.93

Summary:
For the volume, the calculation gives 23.40 A^3/atom. The calculation puts the total magnetization at 1.3 μB per formula unit.

=====

Model Q:
The following is a PBE calculation of a geometry-optimized CeErNi structure, from Alexandria.

Unit cell a=4.7357 b=4.7357 c=4.7357 alpha=60.00 beta=60.00 gamma=60.00
With the nearest neighbours (Å) after each atom.
Atoms (fractional coordinates):
Ce  0.0000  0.0000  0.0000  4 Ni 2.90
Er  0.5000  0.5000  0.5000  4 Ni 2.90
Ni  0.2500  0.2500  0.2500  4 Ce 2.90, 4 Er 2.90

Summary:
For the volume, the calculation gives 25.03 A^3/atom. The calculation puts the total magnetization at 0.7 μB per formula unit.

=====

Model R:
The following is a PBE calculation of a geometry-optimized CeErNi structure, from Alexandria.

Unit cell a=3.7206 b=3.7206 c=6.3198 alpha=90.00 beta=90.00 gamma=120.00
With the nearest neighbours (Å) after each atom.
Atoms (fractional coordinates):
Ce  0.0000  0.0000  0.0000  3 Ni 2.69
Er  0.6667  0.3333  0.4741  3 Ni 2.74
Ni  0.3333  0.6667  0.7430  3 Ce 2.69, 3 Er 2.74

Summary:
For the volume, the calculation gives 25.25 A^3/atom. The calculation puts the total magnetization at 0.7 μB per formula unit.

=====

Model S:
The following is a PBE calculation of a geometry-optimized CeErNi structure, from Alexandria.

Unit cell a=3.5755 b=4.3012 c=8.8121 alpha=90.00 beta=100.02 gamma=90.00
With the nearest neighbours (Å) after each atom.
Atoms (fractional coordinates):
Ce  0.1402  0.2500  0.4206  2 Ce 2.84, 1 Ni 2.87
Ce  0.8598  0.7500  0.5794  2 Ce 2.84, 1 Ni 2.87
Er  0.4342  0.2500  0.8431  6 Ni 2.79-2.86
Er  0.5658  0.7500  0.1569  6 Ni 2.79-2.86
Ni  0.0406  0.2500  0.0907  2 Ni 2.66, 6 Er 2.79-2.86, 1 Ce 2.87
Ni  0.9594  0.7500  0.9093  2 Ni 2.66, 6 Er 2.79-2.86, 1 Ce 2.87

Summary:
For the volume, the calculation gives 22.24 A^3/atom. The calculation puts the total magnetization at 0.0 μB per formula unit.

=====

Which one sits at the top of the stability order? model S does.